Record 1
Tb2SeN | OQMD | GGA-PBE | optimized geometry; total magnetic moment = 0.000 μB per atom; space-group type = Cmcm
1.0
-0.1603 4.5814 -0.8657
-1.9277 0.7363 4.1841
7.1082 0.8396 3.1272
Tb Se N
4 2 2
Cartesian
1.6936 2.4948 0.3580
4.3700 1.0051 4.4292
3.3266 3.6626 6.0875
0.6502 5.1522 2.0163
-1.0440 2.6589 1.6592
2.5101 3.0787 3.2228
3.4066 1.3729 6.5204
1.6136 4.7845 -0.0749

Record 2
Tb3Se2N | OQMD | GGA-PBE | optimized geometry; total magnetic moment = 0.000 μB per atom; space-group type = P-3m1
1.0
3.7888 0.0000 0.0000
-1.8944 3.2812 0.0000
0.0000 0.0000 10.0377
Tb Se N
3 2 1
Cartesian
0.0000 2.1875 8.7645
0.0000 0.0000 5.0188
1.8944 1.0937 1.2732
1.8944 1.0937 6.8550
0.0000 2.1875 3.1827
0.0000 0.0000 0.0000

Record 3
Tb4Se3N | OQMD | GGA-PBE | optimized geometry; total magnetic moment = 0.000 μB per atom; space-group type = I4/mmm
1.0
-2.8146 2.8146 5.6379
2.8146 -2.8146 5.6379
2.8146 2.8146 -5.6379
Tb Se N
4 3 1
Cartesian
2.8146 0.0000 0.0000
0.0000 2.8146 0.0000
0.0000 0.0000 2.3159
0.0000 0.0000 8.9599
0.0000 2.8146 2.8190
0.0000 0.0000 5.6379
2.8146 0.0000 2.8190
0.0000 0.0000 0.0000

Record 4
Th2SeN2 | OQMD | GGA-PBE | optimized geometry; total magnetic moment = 0.000 μB per atom; space-group type = P-3m1
1.0
4.0339 0.0000 0.0000
-2.0169 3.4934 0.0000
0.0000 0.0000 7.1519
Se Th N
1 2 2
Cartesian
0.0000 0.0000 0.0000
2.0169 1.1645 5.0396
0.0000 2.3290 2.1123
2.0169 1.1645 2.6623
0.0000 2.3290 4.4897

Record 5
Tm4Se3N | OQMD | GGA-PBE | optimized geometry; total magnetic moment = 0.003 μB per atom; space-group type = I4/mmm
1.0
-2.7549 2.7549 5.5370
2.7549 -2.7549 5.5370
2.7549 2.7549 -5.5370
Tm Se N
4 3 1
Cartesian
0.0000 0.0000 2.2517
0.0000 0.0000 8.8223
2.7549 0.0000 0.0000
0.0000 2.7549 0.0000
0.0000 2.7549 2.7685
0.0000 0.0000 5.5370
2.7549 0.0000 2.7685
0.0000 0.0000 0.0000

Record 6
Tm3SeN2 | OQMD | GGA-PBE | optimized geometry; total magnetic moment = 0.001 μB per atom; space-group type = P-3m1
1.0
-3.4589 -0.6504 0.1674
2.2457 -2.6000 -0.7821
0.8040 -1.9840 8.9040
Tm N Se
3 2 1
Cartesian
-1.3840 -1.7281 1.7708
0.4020 -0.9920 4.4520
0.9748 -3.5063 6.5184
-1.0308 -2.5997 5.6830
0.6215 -2.6346 2.6063
0.0000 0.0000 0.0000

Record 7
Zn2WSeN4 | OQMD | GGA-PBE | optimized geometry; total magnetic moment = 0.000 μB per atom; space-group type = P-6m2
1.0
-1.1186 2.6068 -0.8748
-0.4960 -2.4436 -1.6109
-9.0213 -1.9475 5.7319
Se Zn W N
1 2 1 4
Cartesian
-0.7035 -0.7601 -1.3655
-7.6839 -0.5388 3.1831
-3.1595 0.4380 0.3084
-4.5106 -0.9738 2.8659
-6.2715 -1.9622 2.1722
-7.8420 -1.6929 4.9826
-4.1568 -1.5056 0.8286
-1.1793 -0.2546 0.7493

Record 8
Zr2SeN2 | OQMD | GGA-PBE | optimized geometry; total magnetic moment = 0.000 μB per atom; space-group type = P6_3/mmc
1.0
-2.9761 1.8139 1.1366
-0.3430 -3.3274 -1.4999
1.2101 -5.5339 11.9996
Se Zr N
2 4 4
Cartesian
0.3025 -1.3835 2.9999
0.9076 -4.1504 8.9997
-0.4961 -4.9274 6.5645
-0.1301 -6.6007 10.1929
-1.9788 -0.4467 1.4435
-1.6129 -2.1200 5.0719
-0.9689 -5.0648 11.4574
-0.6963 -4.0116 4.5787
-1.1400 -1.9826 0.1790
-1.4126 -3.0358 7.0576

Number 1: raw total energy -0.23940 hartree per atom. Number 2: raw total energy -0.24072 hartree per atom. Number 3: raw total energy -0.23076 hartree per atom. Number 4: raw total energy -0.32823 hartree per atom. Number 5: raw total energy -0.22551 hartree per atom. Number 6: raw total energy -0.27008 hartree per atom. Number 7: raw total energy -0.22335 hartree per atom. Number 8: raw total energy -0.33152 hartree per atom.